Entry 1:
KTl6Sb: optimized geometry, PBE.

abc: 5.5310 7.1374 7.1374
angles: 64.80 90.00 90.00
Fractional coordinates of all 8 atoms:
K (0.0000, 0.0000, 0.0000)
Tl (0.0000, 0.0358, 0.4905)
Tl (0.0000, 0.4905, 0.0358)
Tl (0.5000, 0.1982, 0.1982)
Tl (0.5000, 0.2400, 0.6786)
Tl (0.5000, 0.6786, 0.2400)
Tl (0.5000, 0.7196, 0.7196)
Sb (0.0000, 0.5324, 0.5324)

## Properties
**Total magnetic moment**: 0.00 μB/cell
**N(E_F)**: 0.5197 states/eV per atom
**Total energy**: -19.8 eV per formula unit
**Energy above the lowest structure with this stoichiometry**: 0.0000 eV per atom


Entry 2:
InTc2Rh: optimized geometry, PBE.

abc: 5.1234 5.1234 5.1234
angles: 136.51 136.51 63.19
Fractional coordinates of all 4 atoms:
In (0.0000, 0.0000, 0.0000)
Tc (0.2500, 0.7500, 0.5000)
Tc (0.7500, 0.2500, 0.5000)
Rh (0.5000, 0.5000, 0.0000)

## Properties
**Total magnetic moment**: 0.00 μB/cell
**N(E_F)**: 0.8955 states/eV per atom
**Total energy**: -30.4 eV per formula unit
**Formation enthalpy at 0 K**: 0.117 eV per atom


Entry 3:
AuSe3: optimized geometry, PBE.

abc: 6.1506 6.1506 6.1506
angles: 142.41 142.41 54.22
Fractional coordinates of all 4 atoms:
Au (0.0000, 0.0000, 0.0000)
Se (0.2419, 0.2419, 0.0000)
Se (0.5000, 0.5000, 0.0000)
Se (0.7581, 0.7581, 0.0000)

## Properties
**Total magnetic moment**: 0.00 μB/cell
**N(E_F)**: 0.7151 states/eV per atom
**Total energy**: -13.3 eV per formula unit


Entry 4:
CuGeBr: optimized geometry, PBE.

abc: 10.6581 3.9676 3.9676
angles: 50.19 90.00 90.00
Fractional coordinates of all 6 atoms:
Cu (0.1198, 0.0000, 0.0000)
Cu (0.8802, 0.0000, 0.0000)
Ge (0.0000, 0.6936, 0.6936)
Ge (0.5000, 0.6614, 0.6614)
Br (0.3022, 0.4305, 0.4305)
Br (0.6978, 0.4305, 0.4305)

## Properties
**Total magnetic moment**: 0.00 μB/cell
**N(E_F)**: 0.2390 states/eV per atom
**Total energy**: -10.1 eV per formula unit


Entry 5:
MnTc3Ag: optimized geometry, PBE.

abc: 4.4276 4.4276 4.4276
angles: 90.00 90.00 90.00
Fractional coordinates of all 5 atoms:
Mn (0.0000, 0.0000, 0.0000)
Tc (0.0000, 0.0000, 0.5000)
Tc (0.0000, 0.5000, 0.0000)
Tc (0.5000, 0.0000, 0.0000)
Ag (0.5000, 0.5000, 0.5000)

## Properties
**Total magnetic moment**: 1.61 μB/cell
**N(E_F)**: 1.2447 states/eV per atom
**Total energy**: -36.9 eV per formula unit
**Formation enthalpy at 0 K**: 1.237 eV per atom
**Energy above the lowest structure with this stoichiometry**: 0.0000 eV per atom


Entry 6:
TcGe2Pt: optimized geometry, PBE.

abc: 8.8756 8.8756 8.8756
angles: 19.17 19.17 19.17
Fractional coordinates of all 4 atoms:
Tc (0.0000, 0.0000, 0.0000)
Ge (0.4067, 0.4067, 0.4067)
Ge (0.5933, 0.5933, 0.5933)
Pt (0.5000, 0.5000, 0.5000)

## Properties
**Total magnetic moment**: 0.00 μB/cell
**N(E_F)**: 0.5274 states/eV per atom
**Total energy**: -26.1 eV per formula unit
**Formation enthalpy at 0 K**: -0.122 eV per atom
**Energy above the lowest structure with this stoichiometry**: 0.0291 eV per atom


Entry 7:
LiSmSbPt: optimized geometry, PBE.

abc: 4.8755 4.8755 4.8755
angles: 60.00 60.00 60.00
Fractional coordinates of all 4 atoms:
Li (0.0000, 0.0000, 0.0000)
Sm (0.2500, 0.2500, 0.2500)
Sb (0.7500, 0.7500, 0.7500)
Pt (0.5000, 0.5000, 0.5000)

## Properties
**Total magnetic moment**: 0.00 μB/cell
**N(E_F)**: 0.6894 states/eV per atom
**Total energy**: -19.8 eV per formula unit


Entry 8:
Ca2AlNi3Ge4: optimized geometry, PBE.

abc: 4.0758 4.0758 10.3534
angles: 90.00 90.00 90.00
Fractional coordinates of all 10 atoms:
Ca (0.0000, 0.5000, 0.2434)
Ca (0.5000, 0.0000, 0.7566)
Al (0.0000, 0.0000, 0.5000)
Ni (0.0000, 0.5000, 0.8764)
Ni (0.5000, 0.0000, 0.1236)
Ni (0.5000, 0.5000, 0.5000)
Ge (0.0000, 0.0000, 0.0000)
Ge (0.0000, 0.5000, 0.6470)
Ge (0.5000, 0.0000, 0.3530)
Ge (0.5000, 0.5000, 0.0000)

## Properties
**Total magnetic moment**: 0.00 μB/cell
**N(E_F)**: 0.4864 states/eV per atom
**Total energy**: -48.7 eV per formula unit
**Formation enthalpy at 0 K**: -0.513 eV per atom


Entry 9:
CeHoGa2Au2: optimized geometry, PBE.

abc: 4.5448 4.5448 7.3005
angles: 90.00 90.00 120.00
Fractional coordinates of all 6 atoms:
Ce (0.0000, 0.0000, 0.0000)
Ho (0.0000, 0.0000, 0.5000)
Ga (0.3333, 0.6667, 0.7445)
Ga (0.6667, 0.3333, 0.2555)
Au (0.3333, 0.6667, 0.2710)
Au (0.6667, 0.3333, 0.7290)

## Properties
**Total magnetic moment**: 0.72 μB/cell
**N(E_F)**: 1.0074 states/eV per atom
**Total energy**: -27.6 eV per formula unit
**Formation enthalpy at 0 K**: -0.739 eV per atom


Entry 10:
BaAlSn4O7: optimized geometry, PBE.

abc: 6.1034 6.1034 14.3224
angles: 90.00 90.00 120.00
Fractional coordinates of all 26 atoms:
Ba (0.3333, 0.6667, 0.0000)
Ba (0.6667, 0.3333, 0.5000)
Al (0.3333, 0.6667, 0.4242)
Al (0.6667, 0.3333, 0.9242)
Sn (0.0000, 0.0000, 0.4869)
Sn (0.0000, 0.0000, 0.9869)
Sn (0.1707, 0.3414, 0.7555)
Sn (0.1707, 0.8293, 0.7555)
Sn (0.3414, 0.1707, 0.2555)
Sn (0.6586, 0.8293, 0.7555)
Sn (0.8293, 0.1707, 0.2555)
Sn (0.8293, 0.6586, 0.2555)
O (0.0000, 0.0000, 0.3456)
O (0.0000, 0.0000, 0.8456)
O (0.0118, 0.5059, 0.3476)
O (0.1840, 0.3680, 0.5081)
O (0.1840, 0.8160, 0.5081)
O (0.3680, 0.1840, 0.0081)
O (0.4941, 0.5059, 0.3476)
O (0.4941, 0.9882, 0.3476)
O (0.5059, 0.0118, 0.8476)
O (0.5059, 0.4941, 0.8476)
O (0.6320, 0.8160, 0.5081)
O (0.8160, 0.1840, 0.0081)
O (0.8160, 0.6320, 0.0081)
O (0.9882, 0.4941, 0.8476)

## Properties
**Total magnetic moment**: 0.00 μB/cell
**N(E_F)**: 0.1918 states/eV per atom
**Total energy**: -77.3 eV per formula unit


Entry 11:
MgAsN2: optimized geometry, PBE.

abc: 6.5096 6.5096 6.5096
angles: 26.85 26.85 26.85
Fractional coordinates of all 4 atoms:
Mg (0.0000, 0.0000, 0.0000)
As (0.5000, 0.5000, 0.5000)
N (0.1117, 0.1117, 0.1117)
N (0.8883, 0.8883, 0.8883)

## Properties
**Total magnetic moment**: 0.43 μB/cell
**N(E_F)**: 0.3204 states/eV per atom
**Total energy**: -21.0 eV per formula unit
**Energy above the lowest structure with this stoichiometry**: 0.3987 eV per atom


Entry 12:
Er4CN: optimized geometry, PBE.

abc: 6.8254 6.8254 6.0404
angles: 113.97 113.97 29.81
Fractional coordinates of all 6 atoms:
Er (0.1102, 0.1102, 0.4365)
Er (0.3878, 0.3878, 0.0648)
Er (0.6122, 0.6122, 0.9352)
Er (0.8898, 0.8898, 0.5635)
C (0.0000, 0.0000, 0.0000)
N (0.5000, 0.5000, 0.5000)

## Properties
**Total magnetic moment**: 1.38 μB/cell
**N(E_F)**: 0.6883 states/eV per atom
**Total energy**: -40.0 eV per formula unit


Entry 13:
La2Tb4Pm5: optimized geometry, PBE.

abc: 9.1423 9.1423 11.8132
angles: 94.11 94.11 22.54
Fractional coordinates of all 11 atoms:
La (0.2174, 0.2174, 0.3547)
La (0.7826, 0.7826, 0.6453)
Tb (0.1396, 0.1396, 0.7993)
Tb (0.4686, 0.4686, 0.7425)
Tb (0.5314, 0.5314, 0.2575)
Tb (0.8604, 0.8604, 0.2007)
Pm (0.0000, 0.0000, 0.0000)
Pm (0.3240, 0.3240, 0.9314)
Pm (0.4054, 0.4054, 0.4627)
Pm (0.5946, 0.5946, 0.5373)
Pm (0.6760, 0.6760, 0.0686)

## Properties
**Total magnetic moment**: 0.00 μB/cell
**N(E_F)**: 1.4558 states/eV per atom
**Total energy**: -51.4 eV per formula unit
**Formation enthalpy at 0 K**: 0.065 eV per atom
**Energy above the lowest structure with this stoichiometry**: 0.0000 eV per atom


Entry 14:
Li3PuCl9: optimized geometry, PBE.

abc: 10.5783 10.5783 12.6379
angles: 122.15 122.15 40.27
Fractional coordinates of all 26 atoms:
Li (0.1301, 0.8699, 0.7500)
Li (0.2144, 0.4262, 0.7428)
Li (0.4262, 0.2144, 0.2428)
Li (0.5738, 0.7856, 0.7572)
Li (0.7856, 0.5738, 0.2572)
Li (0.8699, 0.1301, 0.2500)
Pu (0.0000, 0.5000, 0.0000)
Pu (0.5000, 0.0000, 0.5000)
Cl (0.0317, 0.1927, 0.8941)
Cl (0.0563, 0.4907, 0.2283)
Cl (0.1873, 0.7106, 0.8762)
Cl (0.1927, 0.0317, 0.3941)
Cl (0.2612, 0.3864, 0.5546)
Cl (0.2894, 0.8127, 0.6238)
Cl (0.3864, 0.2612, 0.0546)
Cl (0.4907, 0.0563, 0.7283)
Cl (0.5000, 0.5000, 0.0000)
Cl (0.5000, 0.5000, 0.5000)
Cl (0.5093, 0.9437, 0.2717)
Cl (0.6136, 0.7388, 0.9454)
Cl (0.7106, 0.1873, 0.3762)
Cl (0.7388, 0.6136, 0.4454)
Cl (0.8073, 0.9683, 0.6059)
Cl (0.8127, 0.2894, 0.1238)
Cl (0.9437, 0.5093, 0.7717)
Cl (0.9683, 0.8073, 0.1059)

## Properties
**Total magnetic moment**: 8.00 μB/cell
**N(E_F)**: 0.3267 states/eV per atom
**Total energy**: -55.4 eV per formula unit


Entry 15:
NaEuTlBi: optimized geometry, PBE.

abc: 5.6041 5.6041 5.6041
angles: 60.00 60.00 60.00
Fractional coordinates of all 4 atoms:
Na (0.0000, 0.0000, 0.0000)
Eu (0.5000, 0.5000, 0.5000)
Tl (0.2500, 0.2500, 0.2500)
Bi (0.7500, 0.7500, 0.7500)

## Properties
**Total magnetic moment**: 7.20 μB/cell
**N(E_F)**: 0.8861 states/eV per atom
**Total energy**: -19.6 eV per formula unit
**Formation enthalpy at 0 K**: -0.431 eV per atom


Entry 16:
CeThMg: optimized geometry, PBE.

abc: 8.0835 8.0835 8.0835
angles: 156.17 156.17 33.95
Fractional coordinates of all 3 atoms:
Ce (0.0000, 0.0000, 0.0000)
Th (0.6701, 0.6701, 0.0000)
Mg (0.3362, 0.3362, 0.0000)

## Properties
**Total magnetic moment**: 0.48 μB/cell
**N(E_F)**: 1.8923 states/eV per atom
**Total energy**: -14.7 eV per formula unit
**Formation enthalpy at 0 K**: 0.073 eV per atom
**Energy above the lowest structure with this stoichiometry**: 0.0000 eV per atom


Entry 17:
HfAl2GeRh: optimized geometry, PBE.

abc: 4.6324 4.6324 4.6939
angles: 90.00 90.00 90.00
Fractional coordinates of all 5 atoms:
Hf (0.0000, 0.0000, 0.0000)
Al (0.0000, 0.5000, 0.5000)
Al (0.5000, 0.0000, 0.5000)
Ge (0.5000, 0.5000, 0.0000)
Rh (0.5000, 0.5000, 0.5000)

## Properties
**Total magnetic moment**: 0.00 μB/cell
**N(E_F)**: 0.6908 states/eV per atom
**Total energy**: -28.6 eV per formula unit
**Formation enthalpy at 0 K**: 0.155 eV per atom


Entry 18:
HoTmTcPt: optimized geometry, PBE.

abc: 4.8282 4.8282 4.8282
angles: 60.00 60.00 60.00
Fractional coordinates of all 4 atoms:
Ho (0.0000, 0.0000, 0.0000)
Tm (0.5000, 0.5000, 0.5000)
Tc (0.2500, 0.2500, 0.2500)
Pt (0.7500, 0.7500, 0.7500)

## Properties
**Total magnetic moment**: 0.00 μB/cell
**N(E_F)**: 0.6917 states/eV per atom
**Total energy**: -27.9 eV per formula unit
**Formation enthalpy at 0 K**: -0.602 eV per atom


Entry 19:
TaCrW2: optimized geometry, PBE.

abc: 3.1500 4.4354 4.4680
angles: 90.00 90.00 90.00
Fractional coordinates of all 4 atoms:
Ta (0.0000, 0.0000, 0.0000)
Cr (0.5000, 0.5000, 0.0000)
W (0.0000, 0.5000, 0.5000)
W (0.5000, 0.0000, 0.5000)

## Properties
**Total magnetic moment**: 0.00 μB/cell
**N(E_F)**: 0.4169 states/eV per atom
**Total energy**: -47.5 eV per formula unit
**Formation enthalpy at 0 K**: -0.018 eV per atom
**Energy above the lowest structure with this stoichiometry**: 0.0139 eV per atom


Entry 20:
La2PuSb3Pd4: optimized geometry, PBE.

abc: 4.5665 4.5665 11.5083
angles: 90.00 90.00 90.00
Fractional coordinates of all 10 atoms:
La (0.0000, 0.5000, 0.2174)
La (0.5000, 0.0000, 0.7826)
Pu (0.0000, 0.0000, 0.5000)
Sb (0.0000, 0.5000, 0.8727)
Sb (0.5000, 0.0000, 0.1273)
Sb (0.5000, 0.5000, 0.5000)
Pd (0.0000, 0.0000, 0.0000)
Pd (0.0000, 0.5000, 0.6470)
Pd (0.5000, 0.0000, 0.3530)
Pd (0.5000, 0.5000, 0.0000)

## Properties
**Total magnetic moment**: 5.45 μB/cell
**N(E_F)**: 1.3843 states/eV per atom
**Total energy**: -65.8 eV per formula unit